[1]
An optimized crystal structure of Zr2ScRh. Source: Alexandria, functional GGA-PBEsol.

Unit cell a=3.3175 b=4.6449 c=4.8715 alpha=90.00 beta=90.00 gamma=90.00
With the nearest neighbours (Å) after each atom.
Element x y z (fractional)
1 Zr 0.0000 0.0000 0.0000  4 Zr 2.85, 4 Rh 2.95
2 Zr 0.5000 0.5000 0.0000  4 Zr 2.85, 4 Sc 2.95
3 Sc 0.0000 0.5000 0.5000  4 Rh 2.85, 4 Zr 2.95
4 Rh 0.5000 0.0000 0.5000  4 Sc 2.85, 4 Zr 2.95

formation enthalpy at 0 K = -0.286 eV per atom
energy = -34.1 eV/f.u.
volume = 75.1 Å³ per cell

=====

[2]
An optimized crystal structure of RbNbGaIr2. Source: Alexandria, functional GGA-PBEsol.

Unit cell a=4.6767 b=4.6767 c=4.9435 alpha=90.00 beta=90.00 gamma=90.00
With the nearest neighbours (Å) after each atom.
Element x y z (fractional)
1 Rb 0.0000 0.0000 0.0000  4 Nb 3.31, 8 Ir 3.40
2 Nb 0.5000 0.5000 0.0000  2 Ga 2.47
3 Ga 0.5000 0.5000 0.5000  4 Ir 2.34, 2 Nb 2.47
4 Ir 0.0000 0.5000 0.5000  2 Ga 2.34
5 Ir 0.5000 0.0000 0.5000  2 Ga 2.34

formation enthalpy at 0 K = 1.374 eV per atom
energy = -28.0 eV/f.u.
volume = 108.1 Å³ per cell

=====

[3]
An optimized crystal structure of RbNb2BRh. Source: Alexandria, functional GGA-PBEsol.

Unit cell a=4.3149 b=4.3149 c=5.2464 alpha=90.00 beta=90.00 gamma=90.00
With the nearest neighbours (Å) after each atom.
Element x y z (fractional)
1 Rb 0.0000 0.0000 0.0000  2 B 2.62
2 Nb 0.0000 0.5000 0.5000  2 B 2.16
3 Nb 0.5000 0.0000 0.5000  2 B 2.16
4 B 0.0000 0.0000 0.5000  4 Nb 2.16
5 Rh 0.5000 0.5000 0.0000  4 Rb 3.05, 8 Nb 3.40

formation enthalpy at 0 K = 1.310 eV per atom
energy = -31.3 eV/f.u.
volume = 97.7 Å³ per cell

=====

[4]
An optimized crystal structure of MgCd2Cu. Source: Alexandria, functional GGA-PBEsol.

Unit cell a=4.8830 b=4.8830 c=4.8830 alpha=128.15 beta=128.15 gamma=76.39
With the nearest neighbours (Å) after each atom.
Element x y z (fractional)
1 Mg 0.0000 0.0000 0.0000  8 Cd 2.87, 4 Cu 3.02
2 Cd 0.2500 0.7500 0.5000  4 Mg 2.87, 4 Cu 2.87, 4 Cd 3.02
3 Cd 0.7500 0.2500 0.5000  4 Mg 2.87, 4 Cu 2.87, 4 Cd 3.02
4 Cu 0.5000 0.5000 0.0000  8 Cd 2.87, 4 Mg 3.02

formation enthalpy at 0 K = -0.007 eV per atom
energy = -8.5 eV/f.u.
volume = 70.0 Å³ per cell

=====

[5]
An optimized crystal structure of Ca2HfSbO. Source: Alexandria, functional GGA-PBEsol.

Unit cell a=6.0498 b=6.0498 c=3.8941 alpha=90.00 beta=90.00 gamma=90.00
With the nearest neighbours (Å) after each atom.
Element x y z (fractional)
1 Ca 0.0000 0.5000 0.0000  2 Hf 3.02
2 Ca 0.5000 0.0000 0.0000  2 Hf 3.02
3 Hf 0.0000 0.0000 0.0000  2 O 1.95
4 Sb 0.5000 0.5000 0.5000  8 Ca 3.60, 2 Sb 3.89
5 O 0.0000 0.0000 0.5000  2 Hf 1.95

energy = -27.8 eV/f.u.
volume = 142.5 Å³ per cell

=====

[6]
An optimized crystal structure of Ta3CrP. Source: Alexandria, functional GGA-PBEsol.

Unit cell a=4.5356 b=4.5356 c=4.5356 alpha=90.00 beta=90.00 gamma=90.00
With the nearest neighbours (Å) after each atom.
Element x y z (fractional)
1 Ta 0.0000 0.0000 0.5000  2 Cr 2.27
2 Ta 0.0000 0.5000 0.0000  2 Cr 2.27
3 Ta 0.5000 0.0000 0.0000  2 Cr 2.27
4 Cr 0.0000 0.0000 0.0000  6 Ta 2.27
5 P 0.5000 0.5000 0.5000  12 Ta 3.21

formation enthalpy at 0 K = 1.104 eV per atom
energy = -48.2 eV/f.u.
volume = 93.3 Å³ per cell

=====

[7]
An optimized crystal structure of KAlO2. Source: Alexandria, functional GGA-PBEsol.

Unit cell a=5.4227 b=10.8937 c=15.4682 alpha=90.00 beta=90.00 gamma=90.00
With the nearest neighbours (Å) after each atom.
Element x y z (fractional)
1 K 0.2017 0.2378 0.1850  6 O 2.77-3.01
2 K 0.2017 0.2622 0.6850  6 O 2.77-3.01
3 K 0.2462 0.0095 0.5618  4 O 2.66-2.77
4 K 0.2462 0.4905 0.0618  4 O 2.66-2.77
5 K 0.2538 0.5095 0.5618  4 O 2.66-2.77
6 K 0.2538 0.9905 0.0618  4 O 2.66-2.77
7 K 0.2983 0.7378 0.1850  6 O 2.77-3.01
8 K 0.2983 0.7622 0.6850  6 O 2.77-3.01
9 K 0.7017 0.2378 0.3150  6 O 2.77-3.01
10 K 0.7017 0.2622 0.8150  6 O 2.77-3.01
11 K 0.7462 0.0095 0.9382  4 O 2.66-2.77
12 K 0.7462 0.4905 0.4382  4 O 2.66-2.77
13 K 0.7538 0.5095 0.9382  4 O 2.66-2.77
14 K 0.7538 0.9905 0.4382  4 O 2.66-2.77
15 K 0.7983 0.7378 0.3150  6 O 2.77-3.01
16 K 0.7983 0.7622 0.8150  6 O 2.77-3.01
17 Al 0.2180 0.2372 0.4363  4 O 1.76-1.77
18 Al 0.2180 0.2628 0.9363  4 O 1.76-1.77
19 Al 0.2443 0.0081 0.8113  4 O 1.77
20 Al 0.2443 0.4919 0.3113  4 O 1.77
21 Al 0.2557 0.5081 0.8113  4 O 1.77
22 Al 0.2557 0.9919 0.3113  4 O 1.77
23 Al 0.2820 0.7372 0.4363  4 O 1.76-1.77
24 Al 0.2820 0.7628 0.9363  4 O 1.76-1.77
25 Al 0.7180 0.2372 0.0637  4 O 1.76-1.77
26 Al 0.7180 0.2628 0.5637  4 O 1.76-1.77
27 Al 0.7443 0.0081 0.6887  4 O 1.77
28 Al 0.7443 0.4919 0.1887  4 O 1.77
29 Al 0.7557 0.5081 0.6887  4 O 1.77
30 Al 0.7557 0.9919 0.1887  4 O 1.77
31 Al 0.7820 0.7372 0.0637  4 O 1.76-1.77
32 Al 0.7820 0.7628 0.5637  4 O 1.76-1.77
33 O 0.0534 0.5168 0.2205  2 Al 1.77
34 O 0.0534 0.9832 0.7205  2 Al 1.77
35 O 0.0742 0.7121 0.0167  2 Al 1.77
36 O 0.0742 0.7879 0.5167  2 Al 1.77
37 O 0.1721 0.5954 0.3956  2 Al 1.77
38 O 0.1721 0.9046 0.8956  2 Al 1.77
39 O 0.1967 0.1593 0.8490  2 Al 1.76-1.77
40 O 0.1967 0.3407 0.3490  2 Al 1.76-1.77
41 O 0.3033 0.6593 0.8490  2 Al 1.76-1.77
42 O 0.3033 0.8407 0.3490  2 Al 1.76-1.77
43 O 0.3279 0.0954 0.3956  2 Al 1.77
44 O 0.3279 0.4046 0.8956  2 Al 1.77
45 O 0.4258 0.2121 0.0167  2 Al 1.77
46 O 0.4258 0.2879 0.5167  2 Al 1.77
47 O 0.4466 0.0168 0.2205  2 Al 1.77
48 O 0.4466 0.4832 0.7205  2 Al 1.77
49 O 0.5534 0.5168 0.2795  2 Al 1.77
50 O 0.5534 0.9832 0.7795  2 Al 1.77
51 O 0.5742 0.7121 0.4833  2 Al 1.77
52 O 0.5742 0.7879 0.9833  2 Al 1.77
53 O 0.6721 0.5954 0.1044  2 Al 1.77
54 O 0.6721 0.9046 0.6044  2 Al 1.77
55 O 0.6967 0.1593 0.6510  2 Al 1.76-1.77
56 O 0.6967 0.3407 0.1510  2 Al 1.76-1.77
57 O 0.8033 0.6593 0.6510  2 Al 1.76-1.77
58 O 0.8033 0.8407 0.1510  2 Al 1.76-1.77
59 O 0.8279 0.0954 0.1044  2 Al 1.77
60 O 0.8279 0.4046 0.6044  2 Al 1.77
61 O 0.9258 0.2121 0.4833  2 Al 1.77
62 O 0.9258 0.2879 0.9833  2 Al 1.77
63 O 0.9466 0.0168 0.2795  2 Al 1.77
64 O 0.9466 0.4832 0.7795  2 Al 1.77

energy = -26.0 eV/f.u.
volume = 913.8 Å³ per cell

=====

[8]
An optimized crystal structure of Tl3CuRe. Source: Alexandria, functional GGA-PBEsol.

Unit cell a=5.2416 b=5.2416 c=5.2416 alpha=90.00 beta=90.00 gamma=90.00
With the nearest neighbours (Å) after each atom.
Element x y z (fractional)
1 Tl 0.0000 0.0000 0.5000  2 Re 2.62
2 Tl 0.0000 0.5000 0.0000  2 Re 2.62
3 Tl 0.5000 0.0000 0.0000  2 Re 2.62
4 Cu 0.5000 0.5000 0.5000  12 Tl 3.71
5 Re 0.0000 0.0000 0.0000  6 Tl 2.62

formation enthalpy at 0 K = 1.143 eV per atom
energy = -19.8 eV/f.u.
volume = 144.0 Å³ per cell

=====

[9]
An optimized crystal structure of CeCo12B6. Source: Alexandria, functional GGA-PBEsol.

Unit cell a=5.8938 b=5.8938 c=5.8938 alpha=104.20 beta=104.20 gamma=104.20
With the nearest neighbours (Å) after each atom.
Element x y z (fractional)
1 Ce 0.0000 0.0000 0.0000  6 B 3.01, 18 Co 3.02-3.20
2 Co 0.1332 0.5000 0.8668  4 B 2.00-2.01
3 Co 0.1332 0.8668 0.5000  4 B 2.00-2.01
4 Co 0.1855 0.4543 0.4543  3 B 2.08
5 Co 0.4543 0.1855 0.4543  3 B 2.08
6 Co 0.4543 0.4543 0.1855  3 B 2.08
7 Co 0.5000 0.1332 0.8668  4 B 2.00-2.01
8 Co 0.5000 0.8668 0.1332  4 B 2.00-2.01
9 Co 0.5457 0.5457 0.8145  3 B 2.08
10 Co 0.5457 0.8145 0.5457  3 B 2.08
11 Co 0.8145 0.5457 0.5457  3 B 2.08
12 Co 0.8668 0.1332 0.5000  4 B 2.00-2.01
13 Co 0.8668 0.5000 0.1332  4 B 2.00-2.01
14 B 0.2324 0.2324 0.6751  7 Co 2.00-2.08
15 B 0.2324 0.6751 0.2324  7 Co 2.00-2.08
16 B 0.3249 0.7676 0.7676  7 Co 2.00-2.08
17 B 0.6751 0.2324 0.2324  7 Co 2.00-2.08
18 B 0.7676 0.3249 0.7676  7 Co 2.00-2.08
19 B 0.7676 0.7676 0.3249  7 Co 2.00-2.08

formation enthalpy at 0 K = -0.412 eV per atom
energy = -149.4 eV/f.u.
volume = 182.0 Å³ per cell

=====

[10]
An optimized crystal structure of ZnAsAu2. Source: Alexandria, functional GGA-PBEsol.

Unit cell a=2.8746 b=2.8746 c=8.1362 alpha=90.00 beta=90.00 gamma=90.00
With the nearest neighbours (Å) after each atom.
Element x y z (fractional)
1 Zn 0.0000 0.0000 0.0000  4 Au 2.69, 4 Zn 2.87, 4 As 2.91
2 As 0.5000 0.5000 0.7448  4 As 2.87, 4 Zn 2.91, 4 Au 2.96
3 Au 0.0000 0.0000 0.4803  8 Au 2.87-2.96, 4 As 2.96
4 Au 0.5000 0.5000 0.2166  4 Zn 2.69, 8 Au 2.87-2.96

formation enthalpy at 0 K = 0.067 eV per atom
energy above the most stable polymorph in this dataset = 63 meV per atom
energy = -14.3 eV/f.u.
volume = 67.2 Å³ per cell

=====

[11]
An optimized crystal structure of Ce2MgSi2. Source: Alexandria, functional GGA-PBEsol.

Unit cell a=7.2016 b=7.2016 c=4.2677 alpha=90.00 beta=90.00 gamma=90.00
With the nearest neighbours (Å) after each atom.
Element x y z (fractional)
1 Ce 0.1783 0.3217 0.0000  6 Si 2.98-3.05
2 Ce 0.3217 0.8217 0.0000  6 Si 2.98-3.05
3 Ce 0.6783 0.1783 0.0000  6 Si 2.98-3.05
4 Ce 0.8217 0.6783 0.0000  6 Si 2.98-3.05
5 Mg 0.0000 0.0000 0.5000  4 Si 2.88
6 Mg 0.5000 0.5000 0.5000  4 Si 2.88
7 Si 0.1171 0.6171 0.5000  1 Si 2.39
8 Si 0.3829 0.1171 0.5000  1 Si 2.39
9 Si 0.6171 0.8829 0.5000  1 Si 2.39
10 Si 0.8829 0.3829 0.5000  1 Si 2.39

energy = -29.2 eV/f.u.
volume = 221.3 Å³ per cell

=====

[12]
An optimized crystal structure of V7S8. Source: Alexandria, functional GGA-PBEsol.

Unit cell a=6.2392 b=6.2392 c=5.9945 alpha=90.00 beta=90.00 gamma=120.00
With the nearest neighbours (Å) after each atom.
Element x y z (fractional)
1 V 0.0000 0.0000 0.0000  6 S 2.33
2 V 0.0000 0.5000 0.0000  6 S 2.34-2.37
3 V 0.0000 0.5000 0.5000  6 S 2.34
4 V 0.5000 0.0000 0.0000  6 S 2.34-2.37
5 V 0.5000 0.0000 0.5000  6 S 2.34
6 V 0.5000 0.5000 0.0000  6 S 2.34-2.37
7 V 0.5000 0.5000 0.5000  6 S 2.34
8 S 0.1635 0.3270 0.7457  5 V 2.33-2.37
9 S 0.1635 0.8365 0.7457  5 V 2.33-2.37
10 S 0.3270 0.1635 0.2543  5 V 2.33-2.37
11 S 0.3333 0.6667 0.2495  6 V 2.34
12 S 0.6667 0.3333 0.7505  6 V 2.34
13 S 0.6730 0.8365 0.7457  5 V 2.33-2.37
14 S 0.8365 0.1635 0.2543  5 V 2.33-2.37
15 S 0.8365 0.6730 0.2543  5 V 2.33-2.37

energy above the most stable polymorph in this dataset = 8 meV per atom
energy = -118.1 eV/f.u.
volume = 202.1 Å³ per cell

=====

- Number 5 is which compound?
  Ca2HfSbO